The following is a GGA-PBE calculation of a relaxed structure of Ca2TaRu, from the Alexandria database.

abc: 6.9358 6.9358 6.9358
angles: 90.00 90.00 90.00
Space group F-43m (No. 216)
Asymmetric unit:
1 Ca 0.0000 0.0000 0.0000 (multiplicity 4)
2 Ca 0.2500 0.2500 0.2500 (multiplicity 4)
3 Ta 0.2500 0.2500 0.7500 (multiplicity 4)
4 Ru 0.0000 0.0000 0.5000 (multiplicity 4)

As for the density of states at the Fermi level: 4.0 states/eV/f.u. The energy above the most stable polymorph in this dataset comes out at 0.437 eV/atom. The calculation puts the total DFT energy (no corrections) at -0.212 hartree per atom. The value obtained for the formation energy is 0.518 eV per atom.


The following is a GGA-PBE calculation of a relaxed structure of CaTaRu, from the Alexandria database.

abc: 5.1729 4.1508 7.0336
angles: 90.00 99.39 90.00
Space group P2_1/m (No. 11)
Asymmetric unit:
1 Ca 0.2201 0.2500 0.3568 (multiplicity 2)
2 Ta 0.3195 0.2500 0.8857 (multiplicity 2)
3 Ru 0.1871 0.7500 0.0557 (multiplicity 2)

As for the density of states at the Fermi level: 2.8 states/eV/f.u. The energy above the most stable polymorph in this dataset comes out at 0.223 eV/atom. The calculation puts the total DFT energy (no corrections) at -0.280 hartree per atom. The value obtained for the formation energy is 0.089 eV per atom.


The following is a GGA-PBE calculation of a relaxed structure of CaTa2Ru, from the Alexandria database.

abc: 3.0776 4.2184 6.6445
angles: 90.00 100.64 90.00
Space group Pm (No. 6)
Asymmetric unit:
1 Ca 0.0000 0.0000 0.0000 (multiplicity 1)
2 Ta 0.4106 0.5000 0.6637 (multiplicity 1)
3 Ta 0.8741 0.0000 0.4672 (multiplicity 1)
4 Ru 0.4851 0.5000 0.3017 (multiplicity 1)

As for the density of states at the Fermi level: 2.9 states/eV/f.u. The energy above the most stable polymorph in this dataset comes out at 0.163 eV/atom. The calculation puts the total DFT energy (no corrections) at -0.311 hartree per atom. The value obtained for the formation energy is 0.289 eV per atom.


The following is a GGA-PBE calculation of a relaxed structure of CaTa2Ru, from the Alexandria database.

abc: 5.4556 9.6703 2.8465
angles: 90.00 90.00 90.00
Space group Cmmm (No. 65)
Asymmetric unit:
1 Ca 0.0000 0.0000 0.0000 (multiplicity 2)
2 Ta 0.2500 0.2500 0.5000 (multiplicity 4)
3 Ru 0.0000 0.5000 0.0000 (multiplicity 2)

As for the density of states at the Fermi level: 5.3 states/eV/f.u. The energy above the most stable polymorph in this dataset comes out at 0.483 eV/atom. The calculation puts the total DFT energy (no corrections) at -0.299 hartree per atom. The value obtained for the formation energy is 0.609 eV per atom.


The following is a GGA-PBE calculation of a relaxed structure of CaTa2Ru, from the Alexandria database.

abc: 3.0144 4.5791 5.6473
angles: 90.00 102.42 90.00
Space group P2/m (No. 10)
Asymmetric unit:
1 Ca 0.0000 0.0000 0.0000 (multiplicity 1)
2 Ta 0.2882 0.5000 0.7176 (multiplicity 2)
3 Ru 0.5000 0.0000 0.5000 (multiplicity 1)

As for the density of states at the Fermi level: 4.4 states/eV/f.u. The energy above the most stable polymorph in this dataset comes out at 0.277 eV/atom. The calculation puts the total DFT energy (no corrections) at -0.307 hartree per atom. The value obtained for the formation energy is 0.403 eV per atom.


The following is a GGA-PBE calculation of a relaxed structure of CaTaRu, from the Alexandria database.

abc: 3.2872 3.2872 11.6561
angles: 90.00 90.00 90.00
Space group I4mm (No. 107)
Asymmetric unit:
1 Ca 0.0000 0.0000 0.0000 (multiplicity 2)
2 Ta 0.0000 0.0000 0.2870 (multiplicity 2)
3 Ru 0.0000 0.0000 0.6857 (multiplicity 2)

As for the density of states at the Fermi level: 4.0 states/eV/f.u. The energy above the most stable polymorph in this dataset comes out at 0.244 eV/atom. The calculation puts the total DFT energy (no corrections) at -0.279 hartree per atom. The value obtained for the formation energy is 0.109 eV per atom.


- The highest energy above the most stable polymorph in this dataset belongs to which entry?
  number 4


- Among the records above, which one has the lowest total DFT energy (no corrections)?
  number 3


- Which of these has the lowest total DFT energy (no corrections)?
  number 3